#one
{"formula": "Pu2HgAu3", "functional": "GGA-PBE", "state": "optimized geometry", "lattice": [[-1.851, 2.168, 9.441], [1.851, -2.168, 9.441], [1.851, 2.168, -9.441]], "species": ["Pu", "Pu", "Hg", "Au", "Au", "Au"], "frac_coords": [[0.000, 0.000, 0.000], [0.718, 0.218, 0.500], [0.406, 0.406, 0.000], [0.149, 0.649, 0.500], [0.295, 0.795, 0.500], [0.560, 0.560, 0.000]]}



#two
{"formula": "Pu2HgAu3", "functional": "GGA-PBE", "state": "optimized geometry", "lattice": [[-1.540, 2.724, 8.635], [1.540, -2.724, 8.635], [1.540, 2.724, -8.635]], "species": ["Pu", "Pu", "Hg", "Au", "Au", "Au"], "frac_coords": [[0.157, 0.157, 0.000], [0.843, 0.843, 0.000], [0.500, 0.500, 0.000], [0.000, 0.500, 0.500], [0.329, 0.329, 0.000], [0.671, 0.671, 0.000]]}



The structure with the most favorable energy is #one; the runner-up is 0.094 eV/atom above it.